No. 1
LiMgBIr: relaxed, PBE-GGA.

Results
Energy of formation = -0.854 eV per formula unit
Space group = No. 8

Cell lengths 3.471, 3.471, 6.750 Å; angles 105.10, 105.10, 60.03 degrees
Sites, in units of the cell vectors:
1 Li 0.000 0.000 0.000
2 Mg 0.202 0.202 0.599
3 B 0.417 0.417 0.249
4 Ir 0.764 0.764 0.290

=====

No. 2
GeSbBrF2: relaxed, PBE-GGA.

Results
Formation energy (no corrections) = -1.149 eV/atom
Space group = No. 123

Cell lengths 4.212, 4.212, 5.782 Å; angles 90.00, 90.00, 90.00 degrees
Sites, in units of the cell vectors:
1 Ge 0.000 0.000 0.000
2 Sb 0.000 0.000 0.500
3 Br 0.500 0.500 0.500
4 F 0.000 0.500 0.000
5 F 0.500 0.000 0.000

=====

No. 3
ZnTc2Mo: relaxed, PBE-GGA.

Results
Energy of formation = 0.518 eV per formula unit
Space group = No. 166

Cell lengths 9.045, 9.045, 9.045 Å; angles 17.71, 17.71, 17.71 degrees
Sites, in units of the cell vectors:
1 Zn 0.000 0.000 0.000
2 Tc 0.249 0.249 0.249
3 Tc 0.751 0.751 0.751
4 Mo 0.500 0.500 0.500

=====

No. 4
NaMnBiOs: relaxed, PBE-GGA.

Results
Energy of formation = 1.814 eV per formula unit
Space group = No. 8
E above lowest polymorph = 38 meV/atom

Cell lengths 4.103, 4.103, 6.780 Å; angles 107.56, 107.56, 60.14 degrees
Sites, in units of the cell vectors:
1 Na 0.000 0.000 0.000
2 Mn 0.438 0.438 0.315
3 Bi 0.203 0.203 0.610
4 Os 0.788 0.788 0.362

=====

No. 5
SrZn2GaRu: relaxed, PBE-GGA.

Results
Energy of formation = -1.289 eV per formula unit
Space group = No. 123

Cell lengths 4.880, 4.880, 4.769 Å; angles 90.00, 90.00, 90.00 degrees
Sites, in units of the cell vectors:
1 Sr 0.000 0.000 0.000
2 Zn 0.000 0.500 0.500
3 Zn 0.500 0.000 0.500
4 Ga 0.500 0.500 0.000
5 Ru 0.500 0.500 0.500

=====

No. 6
Ac2MgInRh6: relaxed, PBE-GGA.

Results
Energy of formation = -3.694 eV per formula unit
Space group = No. 2

Cell lengths 5.713, 6.601, 6.654 Å; angles 86.77, 64.60, 64.42 degrees
Sites, in units of the cell vectors:
1 Ac 0.247 0.269 0.237
2 Ac 0.753 0.731 0.763
3 Mg 0.500 0.500 0.500
4 In 0.000 0.000 0.000
5 Rh 0.206 0.298 0.797
6 Rh 0.253 0.958 0.539
7 Rh 0.301 0.702 0.203
8 Rh 0.699 0.298 0.797
9 Rh 0.747 0.042 0.461
10 Rh 0.794 0.702 0.203

=====

No. 7
Ac2ScH12Pd3: relaxed, PBE-GGA.

Results
Space group = No. 166
DFT total energy = -4.221 eV/atom

Cell lengths 6.403, 6.403, 6.403 Å; angles 60.95, 60.95, 60.95 degrees
Sites, in units of the cell vectors:
1 Ac 0.118 0.118 0.118
2 Ac 0.882 0.882 0.882
3 Sc 0.500 0.500 0.500
4 H 0.117 0.617 0.617
5 H 0.189 0.189 0.634
6 H 0.189 0.634 0.189
7 H 0.366 0.811 0.811
8 H 0.383 0.383 0.883
9 H 0.383 0.883 0.383
10 H 0.617 0.117 0.617
11 H 0.617 0.617 0.117
12 H 0.634 0.189 0.189
13 H 0.811 0.366 0.811
14 H 0.811 0.811 0.366
15 H 0.883 0.383 0.383
16 Pd 0.000 0.500 0.500
17 Pd 0.500 0.000 0.500
18 Pd 0.500 0.500 0.000

=====

No. 8
YIn2SbOs: relaxed, PBE-GGA.

Results
Formation energy (no corrections) = 0.888 eV/atom
Space group = No. 123

Cell lengths 5.503, 5.503, 4.880 Å; angles 90.00, 90.00, 90.00 degrees
Sites, in units of the cell vectors:
1 Y 0.000 0.000 0.000
2 In 0.000 0.500 0.500
3 In 0.500 0.000 0.500
4 Sb 0.500 0.500 0.500
5 Os 0.500 0.500 0.000

=====

No. 9
Li2IrAu: relaxed, PBE-GGA.

Results
Energy of formation = -0.458 eV per formula unit
Space group = No. 44

Cell lengths 5.412, 5.412, 5.412 Å; angles 151.08, 130.60, 58.25 degrees
Sites, in units of the cell vectors:
1 Li 0.000 0.000 0.000
2 Li 0.745 0.245 0.500
3 Ir 0.499 0.499 0.000
4 Au 0.241 0.741 0.500

=====

No. 10
FeBRh3: relaxed, PBE-GGA.

Results
Energy of formation = -0.165 eV per formula unit
Space group = No. 221
E above lowest polymorph = 38 meV/atom

Cell lengths 4.065, 4.065, 4.065 Å; angles 90.00, 90.00, 90.00 degrees
Sites, in units of the cell vectors:
1 Fe 0.000 0.000 0.000
2 B 0.500 0.500 0.500
3 Rh 0.000 0.500 0.500
4 Rh 0.500 0.000 0.500
5 Rh 0.500 0.500 0.000

=====

No. 11
YZn11Ge: relaxed, PBE-GGA.

Results
Energy of formation = -1.500 eV per formula unit
Space group = No. 12

Cell lengths 6.888, 6.888, 6.770 Å; angles 98.38, 98.38, 134.78 degrees
Sites, in units of the cell vectors:
1 Y 0.000 0.000 0.000
2 Zn 0.000 0.500 0.000
3 Zn 0.005 0.366 0.352
4 Zn 0.297 0.514 0.789
5 Zn 0.366 0.005 0.352
6 Zn 0.486 0.703 0.211
7 Zn 0.500 0.000 0.000
8 Zn 0.500 0.500 0.500
9 Zn 0.514 0.297 0.789
10 Zn 0.634 0.995 0.648
11 Zn 0.703 0.486 0.211
12 Zn 0.995 0.634 0.648
13 Ge 0.000 0.000 0.500

=====

No. 12
Tb3Dy6Tm2Pb: relaxed, PBE-GGA.

Results
Energy of formation = -0.524 eV per formula unit
Space group = No. 12

Cell lengths 6.098, 6.098, 11.616 Å; angles 95.06, 95.06, 120.03 degrees
Sites, in units of the cell vectors:
1 Tb 0.000 0.000 0.000
2 Tb 0.333 0.667 0.000
3 Tb 0.667 0.333 0.000
4 Dy 0.089 0.419 0.253
5 Dy 0.252 0.252 0.749
6 Dy 0.419 0.089 0.253
7 Dy 0.581 0.911 0.747
8 Dy 0.748 0.748 0.251
9 Dy 0.911 0.581 0.747
10 Tm 0.166 0.834 0.500
11 Tm 0.834 0.166 0.500
12 Pb 0.500 0.500 0.500